VASP calculation (PBE) on AcZnAgHg after structural relaxation.

a b c (Å): 5.2148 5.2148 5.2148
angles (deg): 60.00 60.00 60.00
Last column: nearest neighbours and their distance in Å.
Sites, in units of the cell vectors:
Ac 0.7500 0.7500 0.7500  4 Hg 3.19, 4 Zn 3.19
Ag 0.2500 0.2500 0.2500  4 Hg 3.19, 4 Zn 3.19
Zn 0.5000 0.5000 0.5000  4 Ag 3.19, 4 Ac 3.19
Hg 0.0000 0.0000 0.0000  4 Ac 3.19, 4 Ag 3.19

- formation enthalpy at 0 K (eV per atom) = -0.22
- electronic total energy (eV per atom) = -2.353
- DOS(E_F) (states/eV/atom) = 0.88